[1]
Computed, not measured: a geometry-optimized UFe4As2 structure at the GGA-PBE level of DFT.

Output
SG	I4/mmm
size of the total moment	0.53	μB/atom
calculated total energy	-7.814	eV per atom
formation energy from the elements	-4	kJ/mol of atoms

```
UFe4As2
1.0
3.5554 0.0000 -0.8196
-0.1889 3.5503 -0.8196
0.0226 0.0239 8.2197
Fe As U
4 2 1
Direct
0.7500 0.2500 0.5000
0.1360 0.1360 0.2719
0.2500 0.7500 0.5000
0.8640 0.8640 0.7281
0.3680 0.3680 0.7360
0.6320 0.6320 0.2640
0.0000 0.0000 0.0000
```


[2]
Computed, not measured: a geometry-optimized TlNiSe2 structure at the GGA-PBE level of DFT.

Output
SG	Immm
E_form (uncorrected)	-0.165	eV per atom
size of the total moment	0.00	μB/atom
calculated total energy	-3.944	eV per atom

```
TlNiSe2
1.0
5.6769 -0.2412 0.0388
1.3495 5.5194 -0.0388
-2.4364 -4.0726 3.1249
Se Tl Ni
2 1 1
Direct
0.4168 0.4168 0.0000
0.0832 0.0832 0.0000
0.7500 0.2500 0.5000
0.2500 0.7500 0.5000
```


[3]
Computed, not measured: a geometry-optimized Ca3AgPb structure at the GGA-PBE level of DFT.

Output
SG	C222
size of the total moment	0.00	μB/atom
calculated total energy	-2.778	eV per atom
formation energy from the elements	-26	kJ/mol of atoms
distance to the lowest polymorph of the same formula	0.115	eV/atom

```
Ca3AgPb
1.0
-0.6209 -2.5958 2.8895
8.3318 -4.4136 -2.1740
7.6515 3.4966 4.7859
Pb Ca Ag
2 6 2
Direct
0.8635 0.1945 0.2461
0.3632 0.6941 0.7465
0.8626 0.6141 0.0519
0.8637 0.3889 0.8262
0.8625 0.7740 0.4412
0.3635 0.0294 0.0815
0.8638 0.9993 0.6669
0.3634 0.3590 0.4113
0.3638 0.1942 0.7464
0.3623 0.6942 0.2464
```


[4]
Computed, not measured: a geometry-optimized Cs6RbAu2F structure at the GGA-PBE level of DFT.

Output
SG	P1
E_form (uncorrected)	-0.627	eV per atom
size of the total moment	0.00	μB/atom
calculated total energy	-2.078	eV per atom

```
Cs6RbAu2F
1.0
-8.1617 0.9399 -3.7883
-7.1213 -4.3511 3.4517
-6.7174 5.5456 5.0083
Cs Au F Rb
6 2 1 1
Direct
0.7208 0.1936 0.7850
0.5127 0.3418 0.2005
0.3410 0.9448 0.2011
0.9456 0.5127 0.2016
0.3006 0.7210 0.7838
0.1935 0.3011 0.7847
0.5092 0.5066 0.4755
0.9727 0.9722 0.0827
0.3347 0.3347 0.9953
0.8307 0.8333 0.5049
```


[5]
Computed, not measured: a geometry-optimized Pu2InRu structure at the GGA-PBE level of DFT.

Output
SG	R-3m
size of the total moment	2.76	μB/atom
calculated total energy	-9.981	eV per atom
formation energy from the elements	18	kJ/mol of atoms
distance to the lowest polymorph of the same formula	0.391	eV/atom

```
Pu2InRu
1.0
-2.2821 -1.5490 -1.8005
0.9140 -1.9706 -2.4760
-0.1297 -9.4534 5.2849
Pu Ru In
2 1 1
Direct
0.8982 0.8982 0.3055
0.1018 0.1018 0.6945
0.5000 0.5000 0.5000
0.0000 0.0000 0.0000
```


[6]
Computed, not measured: a geometry-optimized NaGaP2Cl structure at the GGA-PBE level of DFT.

Output
SG	P4/mmm
E_form (uncorrected)	0.979	eV per atom
size of the total moment	0.43	μB/atom
calculated total energy	-2.423	eV per atom
distance to the lowest polymorph of the same formula	0.885	eV/atom

```
NaGaP2Cl
1.0
-1.4212 0.3393 -4.7074
-5.9665 -0.9908 1.7299
-0.6481 4.8556 0.5457
P Cl Na Ga
2 1 1 1
Direct
0.5000 0.0000 0.0000
0.0000 0.0000 0.5000
0.5000 0.5000 0.5000
0.0000 0.0000 0.0000
0.0000 0.5000 0.0000
```


[7]
Computed, not measured: a geometry-optimized PmCoNi4 structure at the GGA-PBE level of DFT.

Output
SG	Pmma
size of the total moment	0.48	μB/atom
calculated total energy	-5.875	eV per atom
formation energy from the elements	-4	kJ/mol of atoms
distance to the lowest polymorph of the same formula	0.025	eV/atom

```
PmCoNi4
1.0
-0.6109 -1.8134 -3.2625
-4.9499 -3.2011 2.7062
-4.3921 5.0935 -2.0087
Pm Ni Co
2 8 2
Direct
0.0000 0.3671 0.2500
0.0000 0.6329 0.7500
0.5000 0.9731 0.7500
0.5000 0.0269 0.2500
0.5000 0.2886 0.5577
0.5000 0.7114 0.4423
0.5000 0.2886 0.9423
0.0000 0.0000 0.0000
0.0000 0.0000 0.5000
0.5000 0.7114 0.0577
0.0000 0.2186 0.7500
0.0000 0.7814 0.2500
```


[8]
Computed, not measured: a geometry-optimized HgRhN2 structure at the GGA-PBE level of DFT.

Output
SG	R-3m
E_form (uncorrected)	1.394	eV per atom
size of the total moment	0.00	μB/atom
calculated total energy	-4.682	eV per atom

```
HgRhN2
1.0
1.9432 0.0000 6.2926
-0.9716 1.6829 6.2926
-0.9716 -1.6829 6.2926
N Rh Hg
2 1 1
Direct
0.0966 0.0966 0.0966
0.9034 0.9034 0.9034
0.0000 0.0000 0.0000
0.5000 0.5000 0.5000
```